## BaSbPb2S4 (PBE-GGA)

Data for BaSbPb2S4 after structural relaxation.

Unit cell a=8.572 b=8.572 c=8.413 alpha=119.36 beta=119.36 gamma=89.62
Fractional coordinates of all 16 atoms:
Ba 0.000 0.000 0.000
Ba 0.000 0.000 0.500
Sb 0.000 0.500 0.000
Sb 0.500 0.000 0.500
Pb 0.000 0.500 0.500
Pb 0.500 0.000 0.000
Pb 0.500 0.500 0.000
Pb 0.500 0.500 0.500
S 0.250 0.268 0.009
S 0.254 0.744 0.018
S 0.256 0.746 0.482
S 0.268 0.250 0.509
S 0.732 0.750 0.491
S 0.744 0.254 0.518
S 0.746 0.256 0.982
S 0.750 0.732 0.991

## Properties
**Energy relative to the elements, uncorrected**: -5.7 eV per formula unit
**SG**: C2/c, No. 15
**Calculated total energy**: -71.3 eV per cell

## Ba2SbPbS4 (PBE-GGA)

Data for Ba2SbPbS4 after structural relaxation.

Unit cell a=8.592 b=8.592 c=8.508 alpha=117.26 beta=117.26 gamma=89.96
Fractional coordinates of all 16 atoms:
Ba 0.000 0.000 0.000
Ba 0.000 0.000 0.500
Ba 0.000 0.500 0.000
Ba 0.500 0.000 0.500
Sb 0.000 0.500 0.500
Sb 0.500 0.000 0.000
Pb 0.500 0.500 0.000
Pb 0.500 0.500 0.500
S 0.226 0.717 0.483
S 0.246 0.272 0.511
S 0.272 0.246 0.011
S 0.283 0.774 0.017
S 0.717 0.226 0.983
S 0.728 0.754 0.989
S 0.754 0.728 0.489
S 0.774 0.283 0.517

## Properties
**Energy relative to the elements, uncorrected**: -8.6 eV per formula unit
**SG**: C2/c, No. 15
**Calculated total energy**: -73.6 eV per cell

## BaScPb2S (PBE-GGA)

Data for BaScPb2S after structural relaxation.

Unit cell a=5.614 b=5.614 c=5.731 alpha=90.00 beta=90.00 gamma=90.00
Fractional coordinates of all 5 atoms:
Ba 0.000 0.000 0.000
Sc 0.500 0.500 0.000
Pb 0.000 0.500 0.500
Pb 0.500 0.000 0.500
S 0.000 0.000 0.500

## Properties
**Energy relative to the elements, uncorrected**: -0.4 eV per formula unit
**SG**: P4/mmm, No. 123
**Calculated total energy**: -20.2 eV per cell

## Ba2SmPbS5 (PBE-GGA)

Data for Ba2SmPbS5 after structural relaxation.

Unit cell a=9.275 b=9.275 c=13.161 alpha=90.00 beta=90.00 gamma=153.15
Fractional coordinates of all 18 atoms:
Ba 0.113 0.887 0.500
Ba 0.140 0.860 0.119
Ba 0.860 0.140 0.619
Ba 0.887 0.113 0.000
Sm 0.213 0.787 0.828
Sm 0.787 0.213 0.328
Pb 0.469 0.531 0.270
Pb 0.531 0.469 0.770
S 0.056 0.944 0.887
S 0.284 0.716 0.467
S 0.318 0.682 0.189
S 0.364 0.636 0.812
S 0.490 0.510 0.578
S 0.510 0.490 0.078
S 0.636 0.364 0.312
S 0.682 0.318 0.689
S 0.716 0.284 0.967
S 0.944 0.056 0.387

## Properties
**Energy relative to the elements, uncorrected**: -14.1 eV per formula unit
**SG**: Cmc2_1, No. 36
**Calculated total energy**: -94.0 eV per cell

## Ba2SmPbS4 (PBE-GGA)

Data for Ba2SmPbS4 after structural relaxation.

Unit cell a=7.492 b=4.287 c=7.549 alpha=90.00 beta=109.09 gamma=90.00
Fractional coordinates of all 8 atoms:
Ba 0.000 0.000 0.000
Ba 0.500 0.500 0.000
Sm 0.000 0.500 0.500
Pb 0.500 0.000 0.500
S 0.230 0.000 0.720
S 0.246 0.500 0.275
S 0.754 0.500 0.725
S 0.770 0.000 0.280

## Properties
**Energy relative to the elements, uncorrected**: -13.0 eV per formula unit
**SG**: P2/m, No. 10
**Calculated total energy**: -41.8 eV per cell

## Ba2SnPbS4 (PBE-GGA)

Data for Ba2SnPbS4 after structural relaxation.

Unit cell a=7.575 b=4.400 c=7.614 alpha=90.00 beta=109.61 gamma=90.00
Fractional coordinates of all 8 atoms:
Ba 0.000 0.000 0.000
Ba 0.000 0.500 0.500
Sn 0.500 0.000 0.500
Pb 0.500 0.500 0.000
S 0.264 0.000 0.752
S 0.265 0.500 0.258
S 0.735 0.500 0.742
S 0.736 0.000 0.248

## Properties
**Energy relative to the elements, uncorrected**: -9.9 eV per formula unit
**SG**: P2/m, No. 10
**Calculated total energy**: -38.0 eV per cell

## BaSrPb2S (PBE-GGA)

Data for BaSrPb2S after structural relaxation.

Unit cell a=5.838 b=5.838 c=5.496 alpha=90.00 beta=90.00 gamma=90.00
Fractional coordinates of all 5 atoms:
Ba 0.000 0.000 0.000
Sr 0.500 0.500 0.000
Pb 0.000 0.500 0.500
Pb 0.500 0.000 0.500
S 0.500 0.500 0.500

## Properties
**Energy relative to the elements, uncorrected**: -2.7 eV per formula unit
**SG**: P4/mmm, No. 123
**Calculated total energy**: -17.8 eV per cell

## BaSr2PbS (PBE-GGA)

Data for BaSr2PbS after structural relaxation.

Unit cell a=5.729 b=5.729 c=6.034 alpha=90.00 beta=90.00 gamma=90.00
Fractional coordinates of all 5 atoms:
Ba 0.000 0.000 0.000
Sr 0.000 0.500 0.500
Sr 0.500 0.000 0.500
Pb 0.500 0.500 0.000
S 0.000 0.000 0.500

## Properties
**Energy relative to the elements, uncorrected**: -5.2 eV per formula unit
**SG**: P4/mmm, No. 123
**Calculated total energy**: -18.3 eV per cell